[1]
Entry from Alexandria via LeMat-Bulk: Np3As4Rh7 after structural relaxation (GGA-PBE).

For the size of the total moment, the calculation gives 0.73 μB per atom. The formation energy is -8.16 eV/f.u. The mass density comes out at 11.97 g/cm³. The calculation puts the energy at -8.36 eV/atom.

```
data_Np3As4Rh7
_chemical_formula_sum 'Np6 As8 Rh14'
_cell_length_a 15.332
_cell_length_b 4.044
_cell_length_c 9.545
_cell_angle_alpha 90.00
_cell_angle_beta 125.75
_cell_angle_gamma 90.00
_space_group_name_H-M_alt 'C 1 2/m 1'
_space_group_IT_number 12
loop_
_space_group_symop_operation_xyz
'x,y,z'
'-x,-y,-z'
'-x,y,-z'
'x,-y,z'
'x+1/2,y+1/2,z'
'-x+1/2,-y+1/2,-z'
'-x+1/2,y+1/2,-z'
'x+1/2,-y+1/2,z'
loop_
_atom_site_label
_atom_site_type_symbol
_atom_site_fract_x
_atom_site_fract_y
_atom_site_fract_z
Np1 Np 0.000 0.000 0.000
Np2 Np 0.175 0.500 0.670
As1 As 0.107 0.000 0.833
As2 As 0.158 0.500 0.258
Rh1 Rh 0.000 0.000 0.500
Rh2 Rh 0.009 0.500 0.297
Rh3 Rh 0.168 0.000 0.435
Rh4 Rh 0.198 0.500 0.039
```

=====

[2]
Entry from Alexandria via LeMat-Bulk: Np2AgSe2S2 after structural relaxation (GGA-PBE).

As for the formation energy without anion corrections: -0.976 eV per atom. For the size of the total moment, the calculation gives 1.00 μB per atom. The mass density comes out at 6.75 g/cm³. The calculation puts the energy at -7.26 eV/atom.

```
data_Np2AgSe2S2
_chemical_formula_sum 'Np2 Ag1 Se2 S2'
_cell_length_a 4.4226
_cell_length_b 4.4226
_cell_length_c 11.6701
_cell_angle_alpha 90.00
_cell_angle_beta 90.00
_cell_angle_gamma 120.00
_space_group_name_H-M_alt 'P -3 m 1'
_space_group_IT_number 164
_space_group_name_Hall '-P 3 2"'
loop_
_atom_site_label
_atom_site_type_symbol
_atom_site_fract_x
_atom_site_fract_y
_atom_site_fract_z
Np1 Np 0.3333 0.6667 0.1575
Ag1 Ag 0.0000 0.0000 0.5000
Se1 Se 0.0000 0.0000 0.2875
S1 S 0.3333 0.6667 0.9182
```

=====

[3]
Entry from Alexandria via LeMat-Bulk: SiC3 after structural relaxation (GGA-PBE).

As for the formation energy without anion corrections: 1.322 eV per atom. For the size of the total moment, the calculation gives 0.00 μB per atom. The calculation puts the energy relative to the lowest polymorph listed for this composition at 823 meV/atom. The mass density comes out at 2.48 g/cm³. The calculation puts the energy at -6.95 eV/atom.

```
data_SiC3
_chemical_formula_sum 'Si2 C6'
_cell_length_a 4.035
_cell_length_b 4.382
_cell_length_c 4.862
_cell_angle_alpha 90.00
_cell_angle_beta 90.00
_cell_angle_gamma 90.00
_space_group_name_H-M_alt 'P m m n'
_space_group_IT_number 59
loop_
_space_group_symop_operation_xyz
'x,y,z'
'-x,-y,-z'
'-x+1/2,-y+1/2,z'
'x+1/2,y+1/2,-z'
'x+1/2,-y,-z'
'-x+1/2,y,z'
'-x,y+1/2,-z'
'x,-y+1/2,z'
loop_
_atom_site_label
_atom_site_type_symbol
_atom_site_fract_x
_atom_site_fract_y
_atom_site_fract_z
Si1 Si 0.250 0.250 0.244
C1 C 0.250 0.588 0.006
C2 C 0.250 0.750 0.734
```

=====

[4]
Entry from Alexandria via LeMat-Bulk: ZrCuCl2 after structural relaxation (GGA-PBE).

As for the formation energy without anion corrections: -0.554 eV per atom. For the size of the total moment, the calculation gives 0.00 μB per atom. The calculation puts the energy relative to the lowest polymorph listed for this composition at 283 meV/atom. The mass density comes out at 3.98 g/cm³. The calculation puts the energy at -4.64 eV/atom.

```
data_ZrCuCl2
_chemical_formula_sum 'Zr2 Cu2 Cl4'
_cell_length_a 3.090
_cell_length_b 4.662
_cell_length_c 13.090
_cell_angle_alpha 90.00
_cell_angle_beta 90.00
_cell_angle_gamma 90.00
_space_group_name_H-M_alt 'I m m 2'
_space_group_IT_number 44
loop_
_space_group_symop_operation_xyz
'x,y,z'
'-x,-y,z'
'-x,y,z'
'x,-y,z'
'x+1/2,y+1/2,z+1/2'
'-x+1/2,-y+1/2,z+1/2'
'-x+1/2,y+1/2,z+1/2'
'x+1/2,-y+1/2,z+1/2'
loop_
_atom_site_label
_atom_site_type_symbol
_atom_site_fract_x
_atom_site_fract_y
_atom_site_fract_z
Zr1 Zr 0.000 0.000 0.000
Cu1 Cu 0.000 0.500 0.326
Cl1 Cl 0.000 0.000 0.481
Cl2 Cl 0.000 0.500 0.662
```

=====

[5]
Entry from Alexandria via LeMat-Bulk: Nd7Dy4Sc after structural relaxation (GGA-PBE).

For the size of the total moment, the calculation gives 0.02 μB per atom. The formation energy is 2.55 eV/f.u. The calculation puts the energy relative to the lowest polymorph listed for this composition at 186 meV/atom. The mass density comes out at 6.97 g/cm³. The calculation puts the energy at -4.63 eV/atom.

```
data_Nd7Dy4Sc
_chemical_formula_sum 'Nd14 Dy8 Sc2'
_cell_length_a 16.248
_cell_length_b 5.936
_cell_length_c 9.395
_cell_angle_alpha 90.00
_cell_angle_beta 116.37
_cell_angle_gamma 90.00
_space_group_name_H-M_alt 'C 1 2/m 1'
_space_group_IT_number 12
loop_
_space_group_symop_operation_xyz
'x,y,z'
'-x,-y,-z'
'-x,y,-z'
'x,-y,z'
'x+1/2,y+1/2,z'
'-x+1/2,-y+1/2,-z'
'-x+1/2,y+1/2,-z'
'x+1/2,-y+1/2,z'
loop_
_atom_site_label
_atom_site_type_symbol
_atom_site_fract_x
_atom_site_fract_y
_atom_site_fract_z
Nd1 Nd 0.000 0.000 0.000
Nd2 Nd 0.079 0.500 0.433
Nd3 Nd 0.202 0.500 0.219
Nd4 Nd 0.208 0.500 0.874
Dy1 Dy 0.074 0.000 0.697
Dy2 Dy 0.175 0.000 0.397
Sc1 Sc 0.000 0.500 0.000
```

=====

[6]
Entry from Alexandria via LeMat-Bulk: Fe2Ru after structural relaxation (GGA-PBE).

For the size of the total moment, the calculation gives 1.40 μB per atom. The formation energy is 1.45 eV/f.u. The mass density comes out at 8.74 g/cm³. The calculation puts the energy at -8.25 eV/atom.

```
data_Fe2Ru
_chemical_formula_sum 'Fe8 Ru4'
_cell_length_a 5.741
_cell_length_b 5.741
_cell_length_c 4.909
_cell_angle_alpha 90.00
_cell_angle_beta 90.00
_cell_angle_gamma 90.00
_space_group_name_H-M_alt 'I 4/m c m'
_space_group_IT_number 140
_space_group_name_Hall '-I 4 2c'
loop_
_atom_site_label
_atom_site_type_symbol
_atom_site_fract_x
_atom_site_fract_y
_atom_site_fract_z
Fe1 Fe 0.141 0.359 0.000
Ru1 Ru 0.000 0.000 0.250
```

=====

[7]
Entry from Alexandria via LeMat-Bulk: AcSnPdPt3 after structural relaxation (GGA-PBE).

For the size of the total moment, the calculation gives 0.00 μB per atom. The formation energy is -3.60 eV/f.u. The mass density comes out at 12.94 g/cm³. The calculation puts the energy at -5.84 eV/atom.

```
data_AcSnPdPt3
_chemical_formula_sum 'Ac4 Sn4 Pd4 Pt12'
_cell_length_a 5.863
_cell_length_b 11.823
_cell_length_c 7.679
_cell_angle_alpha 90.00
_cell_angle_beta 90.00
_cell_angle_gamma 90.00
_space_group_name_H-M_alt 'C m c m'
_space_group_IT_number 63
_space_group_name_Hall '-C 2c 2'
loop_
_atom_site_label
_atom_site_type_symbol
_atom_site_fract_x
_atom_site_fract_y
_atom_site_fract_z
Ac1 Ac 0.000 0.175 0.250
Sn1 Sn 0.000 0.125 0.750
Pd1 Pd 0.000 0.409 0.250
Pt1 Pt 0.000 0.350 0.750
Pt2 Pt 0.243 0.000 0.000
```

=====

[8]
Entry from Alexandria via LeMat-Bulk: Np3BiH after structural relaxation (GGA-PBE).

For the size of the total moment, the calculation gives 2.65 μB per atom. The mass density comes out at 14.53 g/cm³. The calculation puts the energy at -9.05 eV/atom.

```
data_Np3BiH
_chemical_formula_sum 'Np3 Bi1 H1'
_cell_length_a 4.721
_cell_length_b 4.721
_cell_length_c 4.721
_cell_angle_alpha 90.00
_cell_angle_beta 90.00
_cell_angle_gamma 90.00
_space_group_name_H-M_alt 'P m -3 m'
_space_group_IT_number 221
_space_group_name_Hall '-P 4 2 3'
loop_
_atom_site_label
_atom_site_type_symbol
_atom_site_fract_x
_atom_site_fract_y
_atom_site_fract_z
Np1 Np 0.000 0.000 0.500
Bi1 Bi 0.500 0.500 0.500
H1 H 0.000 0.000 0.000
```

=====

no.,D(E_F) (states/eV/atom)
1,2.50
2,2.62
3,0.09
4,0.28
5,1.54
6,1.42
7,0.24
8,3.02